(1)
The following is a DFT calculation (GGA-PBE) of NbF4 after structural relaxation.

Calculated values
For the calculated volume, the calculation gives 64 Å³ per cell. The calculation puts the uncorrected formation energy at -2394 meV per atom. The total magnetization is 0.5 Bohr magnetons per cell. The total energy is -29.5 eV/cell.

Cell and atoms, written as CIF:
```
data_NbF4
_space_group_name_H-M_alt 'P m -3 m'
_space_group_IT_number 221
_space_group_name_Hall '-P 4 2 3'
_cell_length_a 4.006
_cell_length_b 4.006
_cell_length_c 4.006
_cell_angle_alpha 90.00
_cell_angle_beta 90.00
_cell_angle_gamma 90.00
loop_
_atom_site_label
_atom_site_fract_x
_atom_site_fract_y
_atom_site_fract_z
Nb1 0.000 0.000 0.000
F1 0.000 0.000 0.500
F2 0.500 0.500 0.500
```

***

(2)
The following is a DFT calculation (GGA-PBE) of Ca2Al3SnAu4 after structural relaxation.

Calculated values
For the calculated volume, the calculation gives 215 Å³ per cell. The total magnetization is 0.0 Bohr magnetons per cell. The total energy is -38.3 eV/cell.

Cell and atoms, written as CIF:
```
data_Ca2Al3SnAu4
_space_group_name_H-M_alt 'P -4 m 2'
_space_group_IT_number 115
_space_group_name_Hall 'P -4 -2'
_cell_length_a 4.420
_cell_length_b 4.420
_cell_length_c 11.010
_cell_angle_alpha 90.00
_cell_angle_beta 90.00
_cell_angle_gamma 90.00
loop_
_atom_site_label
_atom_site_fract_x
_atom_site_fract_y
_atom_site_fract_z
Ca1 0.000 0.500 0.240
Al1 0.000 0.500 0.878
Al2 0.500 0.500 0.500
Sn1 0.000 0.000 0.500
Au1 0.000 0.000 0.000
Au2 0.000 0.500 0.651
Au3 0.500 0.500 0.000
```

***

Question: total energy of number 2 (Ca2Al3SnAu4)?
Answer: -38.3 eV/cell

***

What did the second record say?
The following is a DFT calculation (GGA-PBE) of Ca2Al3SnAu4 after structural relaxation.

Calculated values
For the calculated volume, the calculation gives 215 Å³ per cell. The total magnetization is 0.0 Bohr magnetons per cell. The total energy is -38.3 eV/cell.

Cell and atoms, written as CIF:
```
data_Ca2Al3SnAu4
_space_group_name_H-M_alt 'P -4 m 2'
_space_group_IT_number 115
_space_group_name_Hall 'P -4 -2'
_cell_length_a 4.420
_cell_length_b 4.420
_cell_length_c 11.010
_cell_angle_alpha 90.00
_cell_angle_beta 90.00
_cell_angle_gamma 90.00
loop_
_atom_site_label
_atom_site_fract_x
_atom_site_fract_y
_atom_site_fract_z
Ca1 0.000 0.500 0.240
Al1 0.000 0.500 0.878
Al2 0.500 0.500 0.500
Sn1 0.000 0.000 0.500
Au1 0.000 0.000 0.000
Au2 0.000 0.500 0.651
Au3 0.500 0.500 0.000
```